Entry from Alexandria via LeMat-Bulk: a relaxed structure of Ce2ErGe3 (GGA-PBE).

a = 4.207 Å, b = 5.942 Å, c = 7.258 Å
α = 114.16°, β = 106.85°, γ = 90.00°
Fractional coordinates of all 6 atoms:
Ge 0.333 0.333 0.667
Ge 0.667 0.667 0.333
Ge 0.000 0.000 0.000
Er 0.000 0.500 0.000
Ce 0.334 0.834 0.667
Ce 0.666 0.166 0.333

Computed properties:
For the density, the calculation gives 7.0 Mg/m³. The crystal system is orthorhombic. Its total magnetization is 0.00 μB/atom. Its uncorrected energy is -5.69 eV per atom. Its space group is Immm. The value obtained for the energy of formation is -62.2 kJ/mol of atoms.